The following is a PBE+U calculation of a relaxed structure of KRbMn2F8, from Alexandria via LeMat-Bulk.

Cell and atoms, written as CIF:
```
data_KRbMn2F8
_symmetry_space_group_name_H-M 'P -3'
_symmetry_Int_Tables_number 147
_symmetry_space_group_name_Hall '-P 3'
_cell_length_a 6.0468
_cell_length_b 6.0468
_cell_length_c 8.3437
_cell_angle_alpha 90.00
_cell_angle_beta 90.00
_cell_angle_gamma 120.00
loop_
_atom_site_label
_atom_site_fract_x
_atom_site_fract_y
_atom_site_fract_z
_atom_site_occupancy
K1 0.0000 0.0000 0.0000 1
Rb1 0.0000 0.0000 0.5000 1
Mn1 0.3333 0.6667 0.2842 1
F1 0.0807 0.3356 0.2246 1
F2 0.3333 0.6667 0.4977 1
```

Values from the calculation:
Spin magnetization in μB/cell: 8.00
E_tot in eV per cell: -60.76